# 1
Computed, not measured: an optimized crystal structure of TbPr2Cd6 at the PBE level of DFT.

ΔE_f ... -0.337 eV per atom
Energy ... -2.5234 eV per atom
Space group ... P6/mmm (191)
Crystal system ... hexagonal

```
TbPr2Cd6
1.0
-1.413 0.896 -3.024
-0.935 -8.494 -2.079
-6.436 4.220 4.256
Tb Pr Cd
1 2 6
direct
0.000 0.000 0.000 Tb
0.000 0.333 0.667 Pr
0.000 0.667 0.333 Pr
0.500 0.330 0.330 Cd
0.500 0.670 0.670 Cd
0.500 0.000 0.670 Cd
0.500 0.670 0.000 Cd
0.500 0.330 0.000 Cd
0.500 0.000 0.330 Cd
```

---

# 2
Computed, not measured: an optimized crystal structure of Tb3Pr2Cd at the PBE level of DFT.

ΔE_f ... -0.098 eV per atom
Energy ... -4.1584 eV per atom
Space group ... P4/mmm (123)
ΔE to the lowest computed polymorph ... 0 meV/atom
Crystal system ... tetragonal

```
Tb3Pr2Cd
1.0
3.643 0.000 0.000
0.000 3.643 0.000
0.000 0.000 14.262
Tb Pr Cd
3 2 1
direct
0.000 0.000 0.000 Tb
0.000 0.000 0.642 Tb
0.000 0.000 0.358 Tb
0.500 0.500 0.820 Pr
0.500 0.500 0.180 Pr
0.500 0.500 0.500 Cd
```

---

# 3
Computed, not measured: an optimized crystal structure of Tb8PrCd2 at the PBE level of DFT.

ΔE_f ... 0.321 eV per atom
Energy ... -3.6475 eV per atom
Space group ... C2/m (12)
Crystal system ... monoclinic

```
Tb8PrCd2
1.0
5.290 0.250 0.214
0.939 8.704 0.468
0.939 1.812 8.526
Tb Pr Cd
8 1 2
direct
0.790 0.170 0.635 Tb
0.210 0.365 0.830 Tb
0.879 0.239 0.239 Tb
0.121 0.761 0.761 Tb
0.790 0.635 0.170 Tb
0.210 0.830 0.365 Tb
0.292 0.416 0.416 Tb
0.708 0.584 0.584 Tb
0.000 0.000 0.000 Pr
0.441 0.134 0.134 Cd
0.559 0.866 0.866 Cd
```

---

Number 1: density of states at the Fermi level 7.604 states/eV/f.u.. Number 2: density of states at the Fermi level 7.660 states/eV/f.u.. Number 3: density of states at the Fermi level 16.601 states/eV/f.u..